{
  "formula": "Tb2CuHg3",
  "functional": "GGA-PBE",
  "state": "optimized geometry",
  "lattice": [[3.468, 0.000, 0.000], [0.000, 4.787, 0.000], [0.000, 0.000, 8.357]],
  "species": ["Tb", "Tb", "Cu", "Hg", "Hg", "Hg"],
  "fractional_positions": [[0.000, 0.000, 0.000], [0.000, 0.500, 0.473], [0.500, 0.000, 0.310], [0.500, 0.000, 0.629], [0.500, 0.500, 0.163], [0.500, 0.500, 0.818]],
  "formation_energy_kcal_per_mol_atoms": -8.20,
  "rho_g_cm3": 11.8,
  "crystal_system": "orthorhombic",
  "sg": "Pmm2",
  "dos_ef_per_ev_cell": 4.0,
  "e_tot_ev_per_cell": -16.39
}

***

{
  "formula": "TbTlCuHg",
  "functional": "GGA-PBE",
  "state": "optimized geometry",
  "lattice": [[7.101, 0.000, 0.000], [0.000, 7.101, 0.000], [0.000, 0.000, 7.101]],
  "species": ["Tb", "Tb", "Tb", "Tb", "Tl", "Tl", "Tl", "Tl", "Cu", "Cu", "Cu", "Cu", "Hg", "Hg", "Hg", "Hg"],
  "fractional_positions": [[0.000, 0.000, 0.000], [0.000, 0.500, 0.500], [0.500, 0.000, 0.500], [0.500, 0.500, 0.000], [0.000, 0.000, 0.500], [0.000, 0.500, 0.000], [0.500, 0.000, 0.000], [0.500, 0.500, 0.500], [0.250, 0.250, 0.750], [0.250, 0.750, 0.250], [0.750, 0.250, 0.250], [0.750, 0.750, 0.750], [0.250, 0.250, 0.250], [0.250, 0.750, 0.750], [0.750, 0.250, 0.750], [0.750, 0.750, 0.250]],
  "formation_energy_kcal_per_mol_atoms": -3.58,
  "rho_g_cm3": 11.6,
  "crystal_system": "cubic",
  "sg": "F-43m",
  "dos_ef_per_ev_cell": 8.8,
  "e_tot_ev_per_cell": -48.06
}